A relaxed Sr2HgPbS4 crystal, computed with PBE.

Summary:
* space group: No. 10
* raw total energy: -4.1313 eV/atom
* ΔE_f (raw): -1.1459 eV per atom

abc: 7.297 4.192 7.418
angles: 90.00 111.47 90.00
Fractional coordinates of all 8 atoms:
1 Sr 0.000 0.000 0.000
2 Sr 0.000 0.500 0.500
3 Hg 0.500 0.000 0.500
4 Pb 0.500 0.500 0.000
5 S 0.241 0.000 0.755
6 S 0.272 0.500 0.270
7 S 0.728 0.500 0.730
8 S 0.759 0.000 0.245

***

A relaxed TlHgPbS crystal, computed with PBE.

Summary:
* space group: No. 8
* raw total energy: -2.8081 eV/atom
* ΔE_f (raw): -0.1821 eV per atom

abc: 3.920 3.920 9.228
angles: 102.71 102.71 60.02
Fractional coordinates of all 4 atoms:
1 Tl 0.000 0.000 0.000
2 Hg 0.425 0.425 0.271
3 Pb 0.855 0.855 0.560
4 S 0.253 0.253 0.745

***

A relaxed HgSb2Pb crystal, computed with PBE.

Summary:
* space group: No. 6
* raw total energy: -2.9696 eV/atom
* energy above the most stable polymorph in this dataset: 3 kJ/mol of formula units
* ΔE_f (raw): 0.0941 eV per atom

abc: 3.206 5.231 6.999
angles: 90.00 90.02 90.00
Fractional coordinates of all 4 atoms:
1 Hg 0.000 0.000 0.000
2 Sb 0.494 0.000 0.516
3 Sb 0.496 0.500 0.740
4 Pb 0.500 0.500 0.221

***

A relaxed HgSbPb2 crystal, computed with PBE.

Summary:
* space group: No. 11
* raw total energy: -2.9327 eV/atom
* energy above the most stable polymorph in this dataset: 3 kJ/mol of formula units
* ΔE_f (raw): 0.0276 eV per atom

abc: 6.529 4.367 9.305
angles: 90.00 109.84 90.00
Fractional coordinates of all 8 atoms:
1 Hg 0.226 0.250 0.141
2 Hg 0.774 0.750 0.859
3 Sb 0.346 0.250 0.660
4 Sb 0.654 0.750 0.340
5 Pb 0.171 0.750 0.398
6 Pb 0.278 0.750 0.886
7 Pb 0.722 0.250 0.114
8 Pb 0.829 0.250 0.602